# Ca3La2DyTe6

A geometry-optimized Ca3La2DyTe6 structure (PBE, the Alexandria database).

a = 4.470 Å, b = 9.084 Å, c = 10.122 Å
α = 104.06°, β = 102.76°, γ = 90.00°
Positions (direct):
Ca: 0.500 0.500 0.000
Ca: 0.831 0.166 0.662
Ca: 0.169 0.834 0.338
La: 0.832 0.664 0.664
La: 0.168 0.336 0.336
Dy: 0.500 0.000 0.000
Te: 0.336 0.925 0.673
Te: 0.663 0.591 0.326
Te: 0.664 0.075 0.327
Te: 0.997 0.242 0.995
Te: 0.003 0.758 0.005
Te: 0.337 0.409 0.674

symmetry: No. 12
E: -57.77 eV per cell
formation energy from raw total energies: -1538 meV per atom
spin magnetization: 0.00 μB per cell